Below is crystalline AlGa2C at its relaxed geometry, with properties calculated at the PBE-GGA level.

Structure (extended XYZ):
```
8
Lattice="-2.815 2.815 4.493 2.815 -2.815 4.493 2.815 2.815 -4.493" Properties=species:S:1:pos:R:3 pbc="T T T"
Al 0.000 0.000 0.000
Al 0.000 2.815 2.246
Ga 1.408 -0.872 3.370
Ga 1.943 1.408 1.123
Ga 1.408 3.687 -1.123
Ga 0.872 1.408 5.616
C 2.815 0.000 2.246
C 0.000 0.000 4.493
```

## Properties
DFT formation energy in eV/atom: 0.5771

***

Below is crystalline RhSe2Cl at its relaxed geometry, with properties calculated at the PBE-GGA level.

Structure (extended XYZ):
```
4
Lattice="-1.513 2.397 5.431 1.513 -2.397 5.431 1.513 2.397 -5.431" Properties=species:S:1:pos:R:3 pbc="T T T"
Rh 0.000 0.000 0.000
Se 1.513 0.000 2.040
Se 0.000 2.397 3.391
Cl 0.000 0.000 5.431
```

## Properties
E_form (uncorrected) in eV/atom: 0.14